## CaCrRu (PBE-GGA)

Data for a geometry-optimized CaCrRu structure.

```
data_CaCrRu
_chemical_formula_sum 'Ca4 Cr4 Ru4'
_symmetry_space_group_name_H-M 'F -4 3 m'
_symmetry_Int_Tables_number 216
_symmetry_space_group_name_Hall 'F -4 2 3'
_cell_length_a 6.2977
_cell_length_b 6.2977
_cell_length_c 6.2977
_cell_angle_alpha 90.00
_cell_angle_beta 90.00
_cell_angle_gamma 90.00
loop_
_atom_site_label
_atom_site_type_symbol
_atom_site_fract_x
_atom_site_fract_y
_atom_site_fract_z
Ca1 Ca 0.0000 0.0000 0.0000
Cr1 Cr 0.0000 0.0000 0.5000
Ru1 Ru 0.2500 0.2500 0.2500
```

Computed properties:
Density (kg/m3): 5136

## CaCrRu2 (PBE-GGA)

Data for a geometry-optimized CaCrRu2 structure.

```
data_CaCrRu2
_chemical_formula_sum 'Ca4 Cr4 Ru8'
_symmetry_space_group_name_H-M 'F m -3 m'
_symmetry_Int_Tables_number 225
_symmetry_space_group_name_Hall '-F 4 2 3'
_cell_length_a 6.2616
_cell_length_b 6.2616
_cell_length_c 6.2616
_cell_angle_alpha 90.00
_cell_angle_beta 90.00
_cell_angle_gamma 90.00
loop_
_atom_site_label
_atom_site_type_symbol
_atom_site_fract_x
_atom_site_fract_y
_atom_site_fract_z
Ca1 Ca 0.0000 0.0000 0.0000
Cr1 Cr 0.0000 0.0000 0.5000
Ru1 Ru 0.2500 0.2500 0.2500
```

Computed properties:
Density (kg/m3): 7960

## CaCrRu2 (PBE-GGA)

Data for a geometry-optimized CaCrRu2 structure.

```
data_CaCrRu2
_chemical_formula_sum 'Ca1 Cr1 Ru2'
_symmetry_space_group_name_H-M 'P 1 2/m 1'
_symmetry_Int_Tables_number 10
_cell_length_a 2.9007
_cell_length_b 3.8914
_cell_length_c 6.1624
_cell_angle_alpha 90.00
_cell_angle_beta 103.30
_cell_angle_gamma 90.00
loop_
_symmetry_equiv_pos_as_xyz
'x,y,z'
'-x,-y,-z'
'-x,y,-z'
'x,-y,z'
loop_
_atom_site_label
_atom_site_type_symbol
_atom_site_fract_x
_atom_site_fract_y
_atom_site_fract_z
Ca1 Ca 0.0000 0.0000 0.0000
Cr1 Cr 0.0000 0.0000 0.5000
Ru1 Ru 0.3777 0.5000 0.6904
```

Computed properties:
Density (kg/m3): 7217

## CaCrRu2 (PBE-GGA)

Data for a geometry-optimized CaCrRu2 structure.

```
data_CaCrRu2
_chemical_formula_sum 'Ca2 Cr2 Ru4'
_symmetry_space_group_name_H-M 'C 1 m 1'
_symmetry_Int_Tables_number 8
_cell_length_a 9.7338
_cell_length_b 3.0126
_cell_length_c 5.0250
_cell_angle_alpha 90.00
_cell_angle_beta 106.77
_cell_angle_gamma 90.00
loop_
_symmetry_equiv_pos_as_xyz
'x,y,z'
'x,-y,z'
'x+1/2,y+1/2,z'
'x+1/2,-y+1/2,z'
loop_
_atom_site_label
_atom_site_type_symbol
_atom_site_fract_x
_atom_site_fract_y
_atom_site_fract_z
Ca1 Ca 0.0000 0.0000 0.0000
Cr1 Cr 0.2877 0.5000 0.3439
Ru1 Ru 0.2245 0.0000 0.6671
Ru2 Ru 0.4975 0.0000 0.5025
```

Computed properties:
Density (kg/m3): 6925

## CaCrRu2 (PBE-GGA)

Data for a geometry-optimized CaCrRu2 structure.

```
data_CaCrRu2
_chemical_formula_sum 'Ca1 Cr1 Ru2'
_symmetry_space_group_name_H-M 'P 4/m m m'
_symmetry_Int_Tables_number 123
_symmetry_space_group_name_Hall '-P 4 2'
_cell_length_a 3.0449
_cell_length_b 3.0449
_cell_length_c 7.0658
_cell_angle_alpha 90.00
_cell_angle_beta 90.00
_cell_angle_gamma 90.00
loop_
_atom_site_label
_atom_site_type_symbol
_atom_site_fract_x
_atom_site_fract_y
_atom_site_fract_z
Ca1 Ca 0.0000 0.0000 0.0000
Cr1 Cr 0.0000 0.0000 0.5000
Ru1 Ru 0.5000 0.5000 0.3067
```

Computed properties:
Density (kg/m3): 7457

## CaCrRu2 (PBE-GGA)

Data for a geometry-optimized CaCrRu2 structure.

```
data_CaCrRu2
_chemical_formula_sum 'Ca2 Cr2 Ru4'
_symmetry_space_group_name_H-M 'I -4 m 2'
_symmetry_Int_Tables_number 119
_symmetry_space_group_name_Hall 'I -4 -2'
_cell_length_a 4.0080
_cell_length_b 4.0080
_cell_length_c 8.3301
_cell_angle_alpha 90.00
_cell_angle_beta 90.00
_cell_angle_gamma 90.00
loop_
_atom_site_label
_atom_site_type_symbol
_atom_site_fract_x
_atom_site_fract_y
_atom_site_fract_z
Ca1 Ca 0.0000 0.0000 0.0000
Cr1 Cr 0.0000 0.5000 0.7500
Ru1 Ru 0.0000 0.0000 0.5000
Ru2 Ru 0.0000 0.5000 0.2500
```

Computed properties:
Density (kg/m3): 7302

## Ca2CrRu (PBE-GGA)

Data for a geometry-optimized Ca2CrRu structure.

```
data_Ca2CrRu
_chemical_formula_sum 'Ca2 Cr1 Ru1'
_symmetry_space_group_name_H-M 'P 4/m m m'
_symmetry_Int_Tables_number 123
_symmetry_space_group_name_Hall '-P 4 2'
_cell_length_a 2.9161
_cell_length_b 2.9161
_cell_length_c 9.3873
_cell_angle_alpha 90.00
_cell_angle_beta 90.00
_cell_angle_gamma 90.00
loop_
_atom_site_label
_atom_site_type_symbol
_atom_site_fract_x
_atom_site_fract_y
_atom_site_fract_z
Ca1 Ca 0.0000 0.0000 0.2399
Cr1 Cr 0.5000 0.5000 0.5000
Ru1 Ru 0.5000 0.5000 0.0000
```

Computed properties:
Density (kg/m3): 4852

## CaCrRu2 (PBE-GGA)

Data for a geometry-optimized CaCrRu2 structure.

```
data_CaCrRu2
_chemical_formula_sum 'Ca2 Cr2 Ru4'
_symmetry_space_group_name_H-M 'I m m 2'
_symmetry_Int_Tables_number 44
_cell_length_a 2.9628
_cell_length_b 4.6532
_cell_length_c 9.6919
_cell_angle_alpha 90.00
_cell_angle_beta 90.00
_cell_angle_gamma 90.00
loop_
_symmetry_equiv_pos_as_xyz
'x,y,z'
'-x,-y,z'
'-x,y,z'
'x,-y,z'
'x+1/2,y+1/2,z+1/2'
'-x+1/2,-y+1/2,z+1/2'
'-x+1/2,y+1/2,z+1/2'
'x+1/2,-y+1/2,z+1/2'
loop_
_atom_site_label
_atom_site_type_symbol
_atom_site_fract_x
_atom_site_fract_y
_atom_site_fract_z
Ca1 Ca 0.0000 0.0000 0.0000
Cr1 Cr 0.0000 0.5000 0.7806
Ru1 Ru 0.0000 0.0000 0.5036
Ru2 Ru 0.0000 0.5000 0.2260
```

Computed properties:
Density (kg/m3): 7313

Relative energy among the computed polymorphs per entry: 435 212 161 174 0 386 640 201 meV/atom